MnCd2Au | PBE-GGA | optimized geometry

Results
Total magnetic moment ... 4.04 Bohr magnetons per cell
Theoretical density ... 10608 kg/m3
E_form ... 0.050 eV/atom
Density of states at the Fermi level ... 1.54 states/eV/f.u.

a = 4.9634 Å, b = 4.9634 Å, c = 4.9634 Å
α = 127.49°, β = 127.53°, γ = 77.41°
Site moments in Bohr magnetons follow the coordinates.
Positions (direct):
Au1 0.2500 0.7500 0.5000  0.02
Cd1 0.0000 0.0000 0.0000  -0.02
Cd2 0.5000 0.5000 0.0000  -0.02
Mn1 0.7500 0.2500 0.5000  3.86

MnCd3Au12 | PBE-GGA | optimized geometry

Results
Total magnetic moment ... 4.30 Bohr magnetons per cell
Theoretical density ... 15628 kg/m3
E_form ... -0.097 eV/atom
Density of states at the Fermi level ... 6.23 states/eV/f.u.

a = 4.2076 Å, b = 4.2076 Å, c = 16.5395 Å
α = 90.00°, β = 90.00°, γ = 90.00°
Site moments in Bohr magnetons follow the coordinates.
Positions (direct):
Mn1 0.0000 0.0000 0.0000  4.07
Cd1 0.0000 0.0000 0.2464  0.00
Cd2 0.0000 0.0000 0.5000  0.00
Cd3 0.0000 0.0000 0.7536  0.00
Au1 0.5000 0.5000 0.0000  0.04
Au2 0.5000 0.5000 0.2457  -0.01
Au3 0.5000 0.5000 0.5000  -0.01
Au4 0.5000 0.5000 0.7543  -0.01
Au5 0.5000 0.0000 0.1185  0.02
Au6 0.5000 0.0000 0.3729  -0.01
Au7 0.5000 0.0000 0.6271  -0.01
Au8 0.5000 0.0000 0.8815  0.02
Au9 0.0000 0.5000 0.1185  0.02
Au10 0.0000 0.5000 0.3729  -0.01
Au11 0.0000 0.5000 0.6271  -0.01
Au12 0.0000 0.5000 0.8815  0.02

MnCdAu2 | PBE-GGA | optimized geometry

Results
Total magnetic moment ... 3.92 Bohr magnetons per cell
Theoretical density ... 12716 kg/m3
E_form ... 0.087 eV/atom
Density of states at the Fermi level ... 1.89 states/eV/f.u.

a = 9.2429 Å, b = 9.2429 Å, c = 9.2429 Å
α = 19.02°, β = 19.02°, γ = 19.02°
Site moments in Bohr magnetons follow the coordinates.
Positions (direct):
Au1 0.0046 0.0046 0.0046  0.06
Au2 0.2511 0.2511 0.2511  -0.02
Cd1 0.4978 0.4978 0.4978  -0.02
Mn1 0.7464 0.7464 0.7464  3.76

MnCd2Au | PBE-GGA | optimized geometry

Results
Total magnetic moment ... 3.77 Bohr magnetons per cell
Theoretical density ... 10486 kg/m3
E_form ... 0.123 eV/atom
Density of states at the Fermi level ... 2.07 states/eV/f.u.

a = 9.6116 Å, b = 9.6116 Å, c = 9.6116 Å
α = 18.18°, β = 18.18°, γ = 18.18°
Site moments in Bohr magnetons follow the coordinates.
Positions (direct):
Au1 0.7500 0.7500 0.7500  -0.02
Cd1 0.9982 0.9982 0.9982  -0.02
Cd2 0.5018 0.5018 0.5018  -0.02
Mn1 0.2500 0.2500 0.2500  3.68

MnCd12Au6 | PBE-GGA | optimized geometry

Results
Total magnetic moment ... 4.12 Bohr magnetons per cell
Theoretical density ... 11177 kg/m3
E_form ... -0.117 eV/atom
Density of states at the Fermi level ... 5.41 states/eV/f.u.

a = 7.2714 Å, b = 7.2714 Å, c = 7.2714 Å
α = 88.63°, β = 88.63°, γ = 88.63°
Site moments in Bohr magnetons follow the coordinates.
Positions (direct):
Mn1 0.0000 0.0000 0.0000  3.81
Cd1 0.5646 0.1985 0.4695  0.00
Cd2 0.1985 0.4695 0.5646  0.00
Cd3 0.4695 0.5646 0.1985  0.00
Cd4 0.4354 0.8015 0.5305  0.00
Cd5 0.8015 0.5305 0.4354  0.00
Cd6 0.5305 0.4354 0.8015  0.00
Cd7 0.9649 0.8495 0.6302  0.00
Cd8 0.3698 0.0351 0.1505  0.00
Cd9 0.1505 0.3698 0.0351  0.00
Cd10 0.0351 0.1505 0.3698  0.00
Cd11 0.6302 0.9649 0.8495  0.00
Cd12 0.8495 0.6302 0.9649  0.00
Au1 0.2738 0.1146 0.7391  0.02
Au2 0.8854 0.2609 0.7262  0.02
Au3 0.2609 0.7262 0.8854  0.02
Au4 0.7262 0.8854 0.2609  0.02
Au5 0.1146 0.7391 0.2738  0.02
Au6 0.7391 0.2738 0.1146  0.02

MnCdAu4 | PBE-GGA | optimized geometry

Results
Total magnetic moment ... 4.39 Bohr magnetons per cell
Theoretical density ... 13427 kg/m3
E_form ... 0.095 eV/atom
Density of states at the Fermi level ... 4.56 states/eV/f.u.

a = 5.5077 Å, b = 5.5077 Å, c = 5.5077 Å
α = 60.00°, β = 60.00°, γ = 60.00°
Site moments in Bohr magnetons follow the coordinates.
Positions (direct):
Mn1 0.0000 0.0000 0.0000  4.23
Cd1 0.7500 0.7500 0.7500  -0.02
Au1 0.8754 0.3749 0.3749  0.00
Au2 0.3749 0.3749 0.8754  0.00
Au3 0.3749 0.8754 0.3749  0.00
Au4 0.3749 0.3749 0.3749  0.00